Below is crystalline La2NdTcN4 at its relaxed geometry, with properties calculated at the PBE level.

a b c (Å): 3.559 12.216 12.344
angles (deg): 90.00 90.00 90.00
Space group Cmcm (No. 63)
Unique sites:
La (0.000, 0.132, 0.040) x8
Nd (0.000, 0.375, 0.250) x4
Tc (0.000, 0.351, 0.750) x4
N (0.000, 0.076, 0.250) x4
N (0.000, 0.229, 0.639) x8
N (0.000, 0.500, 0.000) x4

Summary:
Its uncorrected formation energy is -0.89 eV/atom.



Below is crystalline Cs2SCl at its relaxed geometry, with properties calculated at the PBE level.

a b c (Å): 8.501 8.501 8.501
angles (deg): 90.00 90.00 90.00
Space group Fm-3m (No. 225)
Unique sites:
Cs (0.250, 0.250, 0.250) x8
S (0.000, 0.000, 0.000) x4
Cl (0.000, 0.000, 0.500) x4

Summary:
The value obtained for the excess energy over the best structure of this formula in the dataset is 62 meV per atom. Its uncorrected formation energy is -1.10 eV/atom.



Below is crystalline RbMgPb at its relaxed geometry, with properties calculated at the PBE level.

a b c (Å): 4.497 5.338 12.410
angles (deg): 96.04 91.57 114.81
Space group P1 (No. 1)
Unique sites:
Rb (0.000, 0.000, 0.000) x1
Rb (0.265, 0.428, 0.650) x1
Mg (0.180, 0.312, 0.349) x1
Mg (0.458, 0.879, 0.268) x1
Pb (0.737, 0.448, 0.189) x1
Pb (0.911, 0.758, 0.438) x1

Summary:
The formation energy is -0.1002 eV per atom. The value obtained for the excess energy over the best structure of this formula in the dataset is 30 meV per atom.



Below is crystalline Pa4AlZn3 at its relaxed geometry, with properties calculated at the PBE level.

a b c (Å): 3.129 4.446 11.959
angles (deg): 90.00 90.00 90.00
Space group Pmm2 (No. 25)
Unique sites:
Pa (0.000, 0.000, 0.000) x1
Pa (0.000, 0.500, 0.363) x1
Pa (0.500, 0.000, 0.501) x1
Pa (0.500, 0.500, 0.865) x1
Al (0.500, 0.000, 0.237) x1
Zn (0.000, 0.000, 0.737) x1
Zn (0.000, 0.500, 0.628) x1
Zn (0.500, 0.500, 0.127) x1

Summary:
The formation energy is -0.0403 eV per atom.



Below is crystalline KLi2HRh at its relaxed geometry, with properties calculated at the PBE level.

a b c (Å): 4.711 4.711 6.426
angles (deg): 90.00 90.00 90.00
Space group P4/mmm (No. 123)
Unique sites:
K (0.000, 0.000, 0.000) x1
Li (0.000, 0.500, 0.500) x2
H (0.500, 0.500, 0.000) x1
Rh (0.000, 0.000, 0.500) x1



Below is crystalline BiSI2 at its relaxed geometry, with properties calculated at the PBE level.

a b c (Å): 11.259 11.259 5.414
angles (deg): 90.00 90.00 90.00
Space group I-42d (No. 122)
Unique sites:
Bi (0.000, 0.000, 0.000) x4
S (0.000, 0.000, 0.500) x4
I (0.109, 0.250, 0.125) x8

Summary:
The value obtained for the excess energy over the best structure of this formula in the dataset is 0 meV per atom. Its uncorrected formation energy is 0.06 eV/atom.



Below is crystalline Hg4Ir at its relaxed geometry, with properties calculated at the PBE level.

a b c (Å): 3.827 3.827 15.985
angles (deg): 90.00 90.00 90.00
Space group I4/mmm (No. 139)
Unique sites:
Hg (0.000, 0.000, 0.086) x4
Hg (0.000, 0.500, 0.250) x4
Ir (0.000, 0.000, 0.500) x2

Summary:
The formation energy is 0.7076 eV per atom.



Below is crystalline MnCo2Mo at its relaxed geometry, with properties calculated at the PBE level.

a b c (Å): 2.5916 2.5916 25.4448
angles (deg): 90.00 90.00 120.00
Space group R3m (No. 160, hexagonal axes)
Unique sites:
Mn (0.0000, 0.0000, 0.0000) x3
Co (0.0000, 0.0000, 0.4884) x3
Co (0.0000, 0.0000, 0.7439) x3
Mo (0.0000, 0.0000, 0.2422) x3

Summary:
The formation energy is 0.2563 eV per atom. The value obtained for the excess energy over the best structure of this formula in the dataset is 264 meV per atom.



Below is crystalline K2In2Br5 at its relaxed geometry, with properties calculated at the PBE level.

a b c (Å): 22.762 8.019 8.018
angles (deg): 90.00 90.00 90.00
Space group Ima2 (No. 46)
Unique sites:
K (0.111, 0.013, 0.000) x8
In (0.000, 0.000, 0.550) x4
In (0.250, 0.527, 0.953) x4
Br (0.022, 0.742, 0.795) x8
Br (0.125, 0.083, 0.578) x8
Br (0.250, 0.611, 0.565) x4

Summary:
Its uncorrected formation energy is -1.14 eV/atom.



Below is crystalline Sr2CdReN4 at its relaxed geometry, with properties calculated at the PBE level.

a b c (Å): 7.815 6.132 5.890
angles (deg): 90.00 90.00 90.00
Space group Pmn2_1 (No. 31)
Unique sites:
Sr (0.242, 0.233, 0.000) x4
Cd (0.000, 0.730, 0.991) x2
Re (0.000, 0.208, 0.492) x2
N (0.000, 0.019, 0.249) x2
N (0.000, 0.038, 0.750) x2
N (0.200, 0.366, 0.479) x4

Summary:
Its uncorrected formation energy is -0.49 eV/atom.



Below is crystalline NiSn2As2 at its relaxed geometry, with properties calculated at the PBE level.

a b c (Å): 7.010 7.010 5.187
angles (deg): 90.00 90.00 90.00
Space group P4/mbm (No. 127)
Unique sites:
Ni (0.000, 0.000, 0.000) x2
Sn (0.244, 0.256, 0.000) x4
As (0.117, 0.383, 0.500) x4

Summary:
The formation energy is 0.2547 eV per atom. The value obtained for the excess energy over the best structure of this formula in the dataset is 310 meV per atom.



Below is crystalline Na2ErGeTe4 at its relaxed geometry, with properties calculated at the PBE level.

a b c (Å): 7.668 4.166 7.989
angles (deg): 90.00 107.05 90.00
Space group P2/m (No. 10)
Unique sites:
Na (0.000, 0.000, 0.000) x1
Na (0.500, 0.500, 0.000) x1
Er (0.000, 0.500, 0.500) x1
Ge (0.500, 0.000, 0.500) x1
Te (0.248, 0.000, 0.727) x2
Te (0.267, 0.500, 0.280) x2

Summary:
Its uncorrected formation energy is -0.80 eV/atom.



Below is crystalline AcGaC at its relaxed geometry, with properties calculated at the PBE level.

a b c (Å): 7.776 4.289 8.399
angles (deg): 90.00 103.99 90.00
Space group C2/m (No. 12)
Unique sites:
Ac (0.080, 0.000, 0.296) x4
Ga (0.167, 0.500, 0.012) x4
C (0.084, 0.500, 0.538) x4

Summary:
The formation energy is -0.3485 eV per atom. The value obtained for the excess energy over the best structure of this formula in the dataset is 0 meV per atom.



Below is crystalline Nd6NiBi3 at its relaxed geometry, with properties calculated at the PBE level.

a b c (Å): 11.966 15.146 7.643
angles (deg): 90.00 90.00 90.00
Space group Cmc2_1 (No. 36)
Unique sites:
Nd (0.000, 0.001, 0.000) x4
Nd (0.000, 0.243, 0.932) x4
Nd (0.153, 0.249, 0.405) x8
Nd (0.166, 0.463, 0.912) x8
Ni (0.000, 0.142, 0.240) x4
Bi (0.000, 0.394, 0.606) x4
Bi (0.181, 0.110, 0.730) x8

Summary:
The formation energy is -0.4254 eV per atom.



Below is crystalline In2NiCl at its relaxed geometry, with properties calculated at the PBE level.

a b c (Å): 3.269 3.269 7.959
angles (deg): 90.00 90.00 90.00
Space group P4mm (No. 99)
Unique sites:
In (0.000, 0.000, 0.000) x1
In (0.500, 0.500, 0.322) x1
Ni (0.000, 0.000, 0.489) x1
Cl (0.500, 0.500, 0.691) x1

Summary:
The value obtained for the excess energy over the best structure of this formula in the dataset is 222 meV per atom. Its uncorrected formation energy is -0.03 eV/atom.



Below is crystalline Ce6Hg3Ir at its relaxed geometry, with properties calculated at the PBE level.

a b c (Å): 5.683 8.594 11.905
angles (deg): 90.00 115.97 90.00
Space group P2_1/c (No. 14)
Unique sites:
Ce (0.034, 0.140, 0.057) x4
Ce (0.442, 0.159, 0.441) x4
Ce (0.450, 0.558, 0.267) x4
Hg (0.000, 0.000, 0.500) x2
Hg (0.080, 0.639, 0.751) x4
Ir (0.500, 0.000, 0.000) x2

Summary:
The formation energy is -0.2795 eV per atom.



Below is crystalline Sr2TlCr at its relaxed geometry, with properties calculated at the PBE level.

a b c (Å): 4.018 5.686 11.694
angles (deg): 90.00 90.00 90.00
Space group Imm2 (No. 44)
Unique sites:
Sr (0.000, 0.000, 0.000) x2
Sr (0.000, 0.500, 0.207) x2
Tl (0.000, 0.500, 0.760) x2
Cr (0.000, 0.000, 0.438) x2

Summary:
The formation energy is 0.2034 eV per atom.



Below is crystalline MgZrTe2 at its relaxed geometry, with properties calculated at the PBE level.

a b c (Å): 3.9303 3.9303 23.1084
angles (deg): 90.00 90.00 120.00
Space group R-3m (No. 166, hexagonal axes)
Unique sites:
Mg (0.0000, 0.0000, 0.0000) x3
Zr (0.0000, 0.0000, 0.5000) x3
Te (0.0000, 0.0000, 0.2498) x6

Summary:
Its uncorrected formation energy is -0.70 eV/atom.



Below is crystalline SrLi5Mg2 at its relaxed geometry, with properties calculated at the PBE level.

a b c (Å): 7.387 7.387 7.164
angles (deg): 90.00 90.00 90.00
Space group I4mm (No. 107)
Unique sites:
Sr (0.000, 0.000, 0.000) x2
Li (0.000, 0.000, 0.436) x2
Li (0.217, 0.217, 0.665) x8
Mg (0.000, 0.500, 0.402) x4

Summary:
The formation energy is 0.0637 eV per atom. The value obtained for the excess energy over the best structure of this formula in the dataset is 6 meV per atom.



Below is crystalline Zr2NbCu at its relaxed geometry, with properties calculated at the PBE level.

a b c (Å): 6.715 6.715 6.715
angles (deg): 90.00 90.00 90.00
Space group Fm-3m (No. 225)
Unique sites:
Zr (0.250, 0.250, 0.250) x8
Nb (0.000, 0.000, 0.000) x4
Cu (0.000, 0.000, 0.500) x4

Summary:
The formation energy is 0.0291 eV per atom. The value obtained for the excess energy over the best structure of this formula in the dataset is 70 meV per atom.



Below is crystalline RbSmCd at its relaxed geometry, with properties calculated at the PBE level.

a b c (Å): 18.470 3.840 6.673
angles (deg): 90.00 90.00 90.00
Space group Amm2 (No. 38)
Unique sites:
Rb (0.167, 0.000, 0.000) x4
Sm (0.371, 0.000, 0.329) x4
Cd (0.000, 0.000, 0.334) x2
Cd (0.500, 0.000, 0.996) x2

Summary:
The formation energy is 0.2141 eV per atom.



Below is crystalline SmPuH2 at its relaxed geometry, with properties calculated at the PBE level.

a b c (Å): 3.4988 3.4988 17.3954
angles (deg): 90.00 90.00 120.00
Space group R-3m (No. 166, hexagonal axes)
Unique sites:
Sm (0.0000, 0.0000, 0.0000) x3
Pu (0.0000, 0.0000, 0.5000) x3
H (0.0000, 0.0000, 0.2521) x6



Below is crystalline Er3P2Pd2Rh5 at its relaxed geometry, with properties calculated at the PBE level.

a b c (Å): 3.970 3.970 26.055
angles (deg): 90.00 90.00 90.00
Space group I4/mmm (No. 139)
Unique sites:
Er (0.000, 0.000, 0.000) x2
Er (0.000, 0.000, 0.168) x4
P (0.000, 0.000, 0.371) x4
Pd (0.000, 0.000, 0.279) x4
Rh (0.000, 0.000, 0.500) x2
Rh (0.000, 0.500, 0.083) x8

Summary:
The formation energy is -0.9792 eV per atom.



| no. | final energy (eV/atom) |
| --- | --- |
| 1 | -8.180 |
| 2 | -3.019 |
| 3 | -2.190 |
| 4 | -5.734 |
| 5 | -2.504 |
| 6 | -2.717 |
| 7 | -1.306 |
| 8 | -8.297 |
| 9 | -2.918 |
| 10 | -6.742 |
| 11 | -4.363 |
| 12 | -3.847 |
| 13 | -5.802 |
| 14 | -5.028 |
| 15 | -3.311 |
| 16 | -4.816 |
| 17 | -3.635 |
| 18 | -4.811 |
| 19 | -1.741 |
| 20 | -7.786 |
| 21 | -1.986 |
| 22 | -6.728 |
| 23 | -6.950 |